DFT (PBE+U) results for a relaxed structure of KMoF5.

Computed properties:
Uncorrected energy ... -145.90 eV per cell

Geometry as CIF:
```
data_KMoF5
_chemical_formula_sum 'K4 Mo4 F20'
_cell_length_a 9.931
_cell_length_b 7.406
_cell_length_c 8.225
_cell_angle_alpha 90.00
_cell_angle_beta 113.14
_cell_angle_gamma 90.00
_symmetry_space_group_name_H-M 'C 1 2/c 1'
_symmetry_Int_Tables_number 15
_symmetry_space_group_name_Hall '-C 2yc'
loop_
_atom_site_label
_atom_site_type_symbol
_atom_site_fract_x
_atom_site_fract_y
_atom_site_fract_z
K1 K 0.000 0.032 0.250
Mo1 Mo 0.000 0.500 0.000
F1 F 0.000 0.441 0.250
F2 F 0.012 0.236 0.973
F3 F 0.214 0.484 0.604
```